# 1
An optimized crystal structure of SmDy3Th2, computed with PBE.

## Properties
The crystal system is monoclinic. The energy relative to the lowest polymorph listed for this composition is 0.000 eV/atom. As for the mass density: 9.49 Mg/m³. The value obtained for the density of states at the Fermi level is 1.271 states/eV per atom.

a = 3.5769 Å, b = 10.0772 Å, c = 10.6967 Å
α = 89.75°, β = 90.00°, γ = 90.00°
With the nearest neighbours (Å) after each atom.
Sites, in units of the cell vectors:
Sm1 0.2500 0.8765 0.7506  5 Th 3.54-3.63, 5 Dy 3.54-3.62, 2 Sm 3.58
Sm2 0.7500 0.1235 0.2494  5 Th 3.54-3.63, 5 Dy 3.54-3.62, 2 Sm 3.58
Dy1 0.7500 0.1332 0.5821  3 Th 3.52-3.60, 6 Dy 3.52-3.68, 3 Sm 3.56-3.62
Dy2 0.2500 0.8668 0.4179  3 Th 3.52-3.60, 6 Dy 3.52-3.68, 3 Sm 3.56-3.62
Dy3 0.7500 0.6245 0.2505  7 Dy 3.52-3.61, 5 Th 3.53-3.59
Dy4 0.2500 0.3755 0.7495  7 Dy 3.52-3.61, 5 Th 3.53-3.59
Dy5 0.2500 0.3702 0.0826  3 Th 3.53-3.60, 2 Sm 3.54, 7 Dy 3.56-3.62
Dy6 0.7500 0.6298 0.9174  3 Th 3.53-3.60, 2 Sm 3.54, 7 Dy 3.56-3.62
Th1 0.2500 0.3798 0.4185  4 Th 3.48-3.58, 6 Dy 3.52-3.60, 2 Sm 3.63
Th2 0.7500 0.6202 0.5815  4 Th 3.48-3.58, 6 Dy 3.52-3.60, 2 Sm 3.63
Th3 0.7500 0.1239 0.9189  4 Th 3.52-3.58, 5 Dy 3.53-3.60, 3 Sm 3.54-3.56
Th4 0.2500 0.8761 0.0811  4 Th 3.52-3.58, 5 Dy 3.53-3.60, 3 Sm 3.54-3.56

=====

# 2
An optimized crystal structure of Sm7Dy16Th6, computed with PBE.

## Properties
The crystal system is cubic. Its total energy is -141.9 eV for the cell shown. As for the mass density: 8.66 Mg/m³. The value obtained for the density of states at the Fermi level is 1.882 states/eV per atom.

a = 11.1005 Å, b = 11.1005 Å, c = 11.1005 Å
α = 60.00°, β = 60.00°, γ = 60.00°
With the nearest neighbours (Å) after each atom.
Sites, in units of the cell vectors:
Sm1 0.0000 0.0000 0.0000  8 Dy 3.29
Sm2 0.5000 0.0000 0.5000  8 Dy 3.21-3.44
Sm3 0.0000 0.5000 0.0000  8 Dy 3.21-3.44
Sm4 0.0000 0.5000 0.5000  8 Dy 3.21-3.44
Sm5 0.5000 0.0000 0.0000  8 Dy 3.21-3.44
Sm6 0.0000 0.0000 0.5000  8 Dy 3.21-3.44
Sm7 0.5000 0.5000 0.0000  8 Dy 3.21-3.44
Dy1 0.8792 0.8792 0.3624  4 Sm 3.29-3.44, 3 Dy 3.57
Dy2 0.8792 0.8792 0.8792  4 Sm 3.29-3.44, 3 Dy 3.57
Dy3 0.8792 0.3624 0.8792  4 Sm 3.29-3.44, 3 Dy 3.57
Dy4 0.3624 0.8792 0.8792  4 Sm 3.29-3.44, 3 Dy 3.57
Dy5 0.1208 0.1208 0.1208  4 Sm 3.29-3.44, 3 Dy 3.57
Dy6 0.1208 0.1208 0.6376  4 Sm 3.29-3.44, 3 Dy 3.57
Dy7 0.1208 0.6376 0.1208  4 Sm 3.29-3.44, 3 Dy 3.57
Dy8 0.6376 0.1208 0.1208  4 Sm 3.29-3.44, 3 Dy 3.57
Dy9 0.6580 0.6580 0.0260  3 Sm 3.21, 3 Th 3.51, 3 Dy 3.57
Dy10 0.6580 0.6580 0.6580  3 Sm 3.21, 3 Th 3.51, 3 Dy 3.57
Dy11 0.6580 0.0260 0.6580  3 Sm 3.21, 3 Th 3.51, 3 Dy 3.57
Dy12 0.0260 0.6580 0.6580  3 Sm 3.21, 3 Th 3.51, 3 Dy 3.57
Dy13 0.3420 0.3420 0.3420  3 Sm 3.21, 3 Th 3.51, 3 Dy 3.57
Dy14 0.3420 0.3420 0.9740  3 Sm 3.21, 3 Th 3.51, 3 Dy 3.57
Dy15 0.3420 0.9740 0.3420  3 Sm 3.21, 3 Th 3.51, 3 Dy 3.57
Dy16 0.9740 0.3420 0.3420  3 Sm 3.21, 3 Th 3.51, 3 Dy 3.57
Th1 0.3308 0.6692 0.3308  4 Dy 3.51, 4 Th 3.76
Th2 0.6692 0.3308 0.6692  4 Dy 3.51, 4 Th 3.76
Th3 0.6692 0.3308 0.3308  4 Dy 3.51, 4 Th 3.76
Th4 0.3308 0.6692 0.6692  4 Dy 3.51, 4 Th 3.76
Th5 0.6692 0.6692 0.3308  4 Dy 3.51, 4 Th 3.76
Th6 0.3308 0.3308 0.6692  4 Dy 3.51, 4 Th 3.76